# 1
The following is a DFT calculation (PBE-GGA) of a relaxed Zr2Be16Co crystal.

The space group is R3m (No. 160, hexagonal axes) and the conventional cell measures 7.5629, 7.5629 and 10.9865 Å, with angles of 90.00, 90.00 and 120.00 degrees. The inequivalent atoms are Zr at (0.0000, 0.0000, 0.0000), Zr at (0.0000, 0.0000, 0.3214), Be at (0.0000, 0.0000, 0.7588), Be at (0.9997, 0.2806, 0.6570), Be at (0.0039, 0.5019, 0.1591), Be at (0.1670, 0.3341, 0.8356), Be at (0.1682, 0.3364, 0.1501) and Co at (0.0000, 0.0000, 0.5623).

For the final energy, the calculation gives -4.69 eV/atom. The crystal system is trigonal. The density of states at the Fermi level is 15.1 states/eV per cell. The magnetic moment comes out at 0.0 μB per cell.

---

# 2
The following is a DFT calculation (PBE-GGA) of a relaxed Sr2HfGa2 crystal.

The space group is P4/mbm (No. 127) and the conventional cell measures 7.3874, 7.3874 and 5.1786 Å, with angles of 90.00, 90.00 and 90.00 degrees. The inequivalent atoms are Sr at (0.1750, 0.3250, 0.0000), Hf at (0.0000, 0.0000, 0.5000) and Ga at (0.1315, 0.6315, 0.5000).

For the final energy, the calculation gives -3.93 eV/atom. The crystal system is tetragonal. The density of states at the Fermi level is 11.0 states/eV per cell. The magnetic moment comes out at 0.0 μB per cell.

---

# 3
The following is a DFT calculation (PBE-GGA) of a relaxed DyYTlH crystal.

The space group is Imm2 (No. 44) and the conventional cell measures 3.7400, 3.7458 and 12.6327 Å, with angles of 90.00, 90.00 and 90.00 degrees. The inequivalent atoms are Dy at (0.0000, 0.0000, 0.0000), Y at (0.0000, 0.0000, 0.3107), Tl at (0.0000, 0.0000, 0.6547) and H at (0.0000, 0.5000, 0.9058).

For the final energy, the calculation gives -4.68 eV/atom. The crystal system is orthorhombic. The density of states at the Fermi level is 4.2 states/eV per cell. The magnetic moment comes out at 0.0 μB per cell.

---

# 4
The following is a DFT calculation (PBE-GGA) of a relaxed LaTi2Zn crystal.

The space group is I-42d (No. 122) and the conventional cell measures 4.5018, 4.5018 and 19.8348 Å, with angles of 90.00, 90.00 and 90.00 degrees. The inequivalent atoms are La at (0.0000, 0.0000, 0.0000), Ti at (0.0327, 0.2500, 0.6250) and Zn at (0.0000, 0.0000, 0.5000).

For the final energy, the calculation gives -5.01 eV/atom. The crystal system is tetragonal. The density of states at the Fermi level is 27.9 states/eV per cell. The magnetic moment comes out at 0.0 μB per cell.

---

# 5
The following is a DFT calculation (PBE-GGA) of a relaxed Tb15Er4In crystal.

The space group is P4/mmm (No. 123) and the conventional cell measures 4.9680, 4.9680 and 25.1393 Å, with angles of 90.00, 90.00 and 90.00 degrees. The inequivalent atoms are Tb at (0.0000, 0.0000, 0.0000), Tb at (0.0000, 0.0000, 0.1963), Tb at (0.0000, 0.0000, 0.3987), Tb at (0.0000, 0.5000, 0.0970), Tb at (0.0000, 0.5000, 0.2984), Tb at (0.0000, 0.5000, 0.5000), Er at (0.5000, 0.5000, 0.1981), Er at (0.5000, 0.5000, 0.3994) and In at (0.5000, 0.5000, 0.0000).

For the final energy, the calculation gives -4.56 eV/atom. The crystal system is tetragonal. The density of states at the Fermi level is 24.6 states/eV per cell. The magnetic moment comes out at 0.0 μB per cell.